4
Lattice="-0.047 -3.782 0.763 0.982 0.504 2.559 -4.548 0.983 4.590" Properties=species:S:1:pos:R:3 comment="CdReOs2 GGA-PBE relaxed" e_tot_ev_per_atom=-8.488 density_g_cm3=17.7 formation_enthalpy_0k_ev_per_atom=0.468 pbc="T T T"
Re -0.915 -1.519 2.169
Os -1.625 0.730 3.517
Cd -2.698 -0.776 5.744
Os 0.825 0.517 2.617



4
Lattice="4.466 0.000 0.000 2.233 3.868 0.000 2.233 1.289 3.647" Properties=species:S:1:pos:R:3 comment="CdReOs2 GGA-PBE relaxed" e_tot_ev_per_atom=-8.073 density_g_cm3=17.9 formation_enthalpy_0k_ev_per_atom=0.883 pbc="T T T"
Os 2.233 1.289 0.912
Cd 4.466 2.579 1.823
Re 6.700 3.868 2.735
Os 0.000 0.000 0.000



8
Lattice="7.501 0.000 0.000 0.000 7.501 0.000 3.751 3.751 2.631" Properties=species:S:1:pos:R:3 comment="CdRe2Os GGA-PBE relaxed" e_tot_ev_per_atom=-8.204 density_g_cm3=15.1 formation_enthalpy_0k_ev_per_atom=1.056 pbc="T T T"
Re 9.377 9.806 1.973
Re 6.056 1.875 0.658
Os 0.000 0.000 0.000
Re 5.626 5.196 1.973
Os 7.501 3.751 1.316
Re 1.446 5.626 0.658
Cd 3.751 7.501 1.316
Cd 3.751 3.751 0.000



4
Lattice="-1.534 -1.157 4.200 -4.186 -0.843 -1.761 0.774 -2.814 -0.492" Properties=species:S:1:pos:R:3 comment="CdReOs2 GGA-PBE relaxed" e_tot_ev_per_atom=-8.165 density_g_cm3=17.9 formation_enthalpy_0k_ev_per_atom=0.791 pbc="T T T"
Cd -1.706 -1.829 -1.127
Re -0.380 -1.985 1.854
Os 0.000 0.000 0.000
Os -2.860 -1.000 1.220



4
Lattice="-1.571 -3.761 -0.499 1.670 -0.228 -3.541 3.215 -1.558 1.617" Properties=species:S:1:pos:R:3 comment="CdRe2Os GGA-PBE relaxed" e_tot_ev_per_atom=-8.462 density_g_cm3=17.8 formation_enthalpy_0k_ev_per_atom=0.798 pbc="T T T"
Os 0.822 -2.659 0.559
Re 2.443 -0.893 -0.962
Cd 0.050 -1.994 -2.020
Re 0.000 0.000 0.000



4
Lattice="-0.174 2.661 -0.889 -1.290 -1.557 -4.408 -5.284 -0.880 -1.601" Properties=species:S:1:pos:R:3 comment="CdRe2Os GGA-PBE relaxed" e_tot_ev_per_atom=-8.597 density_g_cm3=17.8 formation_enthalpy_0k_ev_per_atom=0.663 pbc="T T T"
Re 0.000 0.000 0.000
Cd -3.374 0.112 -3.448
Os -2.642 -0.440 -0.800
Re -0.732 0.552 -2.648



4
Lattice="-2.125 -2.417 2.078 -0.096 -2.589 -3.108 3.365 -1.776 1.375" Properties=species:S:1:pos:R:3 comment="CdReOs2 GGA-PBE relaxed" e_tot_ev_per_atom=-8.114 density_g_cm3=18.0 formation_enthalpy_0k_ev_per_atom=0.842 pbc="T T T"
Os 0.000 0.000 0.000
Re -1.110 -2.503 -0.515
Os 1.635 -2.182 -0.866
Cd 0.620 -2.096 1.727



4
Lattice="-1.126 -3.518 -1.410 2.105 -1.214 1.347 -1.301 -1.981 5.983" Properties=species:S:1:pos:R:3 comment="CdReOs2 GGA-PBE relaxed" e_tot_ev_per_atom=-8.419 density_g_cm3=17.7 formation_enthalpy_0k_ev_per_atom=0.537 pbc="T T T"
Os -0.396 -2.568 1.181
Cd 0.022 -4.158 4.816
Re 0.529 -1.565 3.484
Os 2.030 -1.232 1.453



Please write out number 1 again, unchanged.
4
Lattice="-0.047 -3.782 0.763 0.982 0.504 2.559 -4.548 0.983 4.590" Properties=species:S:1:pos:R:3 comment="CdReOs2 GGA-PBE relaxed" e_tot_ev_per_atom=-8.488 density_g_cm3=17.7 formation_enthalpy_0k_ev_per_atom=0.468 pbc="T T T"
Re -0.915 -1.519 2.169
Os -1.625 0.730 3.517
Cd -2.698 -0.776 5.744
Os 0.825 0.517 2.617